Record 1
BaTiBi | PBE | relaxed

a b c (Å): 4.4522 4.4522 10.7004
angles (deg): 90.00 90.00 90.00
Positions (direct):
Ba1 0.2500 0.2500 0.1832
Ba2 0.7500 0.7500 0.8168
Ti1 0.2500 0.7500 0.5000
Ti2 0.7500 0.2500 0.5000
Bi1 0.2500 0.2500 0.6762
Bi2 0.7500 0.7500 0.3238

Calculated values
Symmetry: P4/nmm
Final energy (eV/cell): -29.6
ΔH_f (0 K) (eV/atom): -0.36
Volume (Å³ per atom): 35.4

Record 2
Y4I | PBE | relaxed

a b c (Å): 5.6612 5.6612 5.6612
angles (deg): 90.00 90.00 90.00
Positions (direct):
Y1 0.0000 0.0000 0.0000
Y2 0.0000 0.5000 0.5000
Y3 0.5000 0.0000 0.5000
Y4 0.5000 0.5000 0.0000
I1 0.5000 0.5000 0.5000

Calculated values
Symmetry: Pm-3m
Final energy (eV/cell): -26.8
Volume (Å³ per atom): 36.3

Record 3
Na12In6Pb | PBE | relaxed

a b c (Å): 8.3005 8.3005 8.3005
angles (deg): 88.77 88.77 88.77
Positions (direct):
Na1 0.0229 0.3099 0.9217
Na2 0.0783 0.9771 0.6901
Na3 0.1218 0.3527 0.4648
Na4 0.3099 0.9217 0.0229
Na5 0.3527 0.4648 0.1218
Na6 0.4648 0.1218 0.3527
Na7 0.5352 0.8782 0.6473
Na8 0.6473 0.5352 0.8782
Na9 0.6901 0.0783 0.9771
Na10 0.8782 0.6473 0.5352
Na11 0.9217 0.0229 0.3099
Na12 0.9771 0.6901 0.0783
In1 0.2331 0.6146 0.7639
In2 0.2361 0.7669 0.3854
In3 0.3854 0.2361 0.7669
In4 0.6146 0.7639 0.2331
In5 0.7639 0.2331 0.6146
In6 0.7669 0.3854 0.2361
Pb1 0.5000 0.5000 0.5000

Calculated values
Symmetry: R-3
Final energy (eV/cell): -37.4
ΔH_f (0 K) (eV/atom): -0.08
Volume (Å³ per atom): 30.1

Record 4
FeNi2Ru | PBE | relaxed

a b c (Å): 2.9857 2.9857 5.3759
angles (deg): 90.00 90.00 90.00
Positions (direct):
Fe1 0.0000 0.0000 0.0000
Ni1 0.0000 0.0000 0.4693
Ni2 0.5000 0.5000 0.2352
Ru1 0.5000 0.5000 0.7312

Calculated values
Symmetry: P4mm
Final energy (eV/cell): -28.8
ΔH_f (0 K) (eV/atom): 0.12
Volume (Å³ per atom): 12.0

Record 5
Al2CoSe | PBE | relaxed

a b c (Å): 4.3994 4.3994 3.1208
angles (deg): 90.00 90.00 90.00
Positions (direct):
Al1 0.0000 0.5000 0.0000
Al2 0.5000 0.0000 0.0000
Co1 0.0000 0.0000 0.5000
Se1 0.5000 0.5000 0.5000

Calculated values
Symmetry: P4/mmm
Final energy (eV/cell): -17.8
Volume (Å³ per atom): 15.1

Record 6
LaTm2Tl | PBE | relaxed

a b c (Å): 3.5962 3.5962 33.1115
angles (deg): 90.00 90.00 120.00
Positions (direct):
La1 0.0000 0.0000 0.0000
La2 0.3333 0.6667 0.6667
La3 0.6667 0.3333 0.3333
Tm1 0.0000 0.0000 0.5761
Tm2 0.0000 0.0000 0.7572
Tm3 0.3333 0.6667 0.2428
Tm4 0.3333 0.6667 0.4239
Tm5 0.6667 0.3333 0.0906
Tm6 0.6667 0.3333 0.9095
Tl1 0.0000 0.0000 0.1664
Tl2 0.3333 0.6667 0.8331
Tl3 0.6667 0.3333 0.4997

Calculated values
Polymorph energy (0 for the lowest one) (meV per atom): 104
Symmetry: R3m
Final energy (eV/cell): -49.7
ΔH_f (0 K) (eV/atom): -0.08
Volume (Å³ per atom): 30.9

Record 7
AlTlSn2Ru | PBE | relaxed

a b c (Å): 5.3115 5.3115 4.6148
angles (deg): 90.00 90.00 90.00
Positions (direct):
Al1 0.0000 0.0000 0.0000
Tl1 0.5000 0.5000 0.5000
Sn1 0.0000 0.5000 0.0000
Sn2 0.5000 0.0000 0.0000
Ru1 0.0000 0.0000 0.5000

Calculated values
Symmetry: P4/mmm
Final energy (eV/cell): -20.2
ΔH_f (0 K) (eV/atom): 0.65
Volume (Å³ per atom): 26.0

Record 8
CsK2RbP | PBE | relaxed

a b c (Å): 6.5438 6.5438 6.8660
angles (deg): 90.00 90.00 90.00
Positions (direct):
Cs1 0.0000 0.0000 0.0000
K1 0.0000 0.5000 0.5000
K2 0.5000 0.0000 0.5000
Rb1 0.5000 0.5000 0.0000
P1 0.5000 0.5000 0.5000

Calculated values
Polymorph energy (0 for the lowest one) (meV per atom): 0
Symmetry: P4/mmm
Final energy (eV/cell): -9.7
ΔH_f (0 K) (eV/atom): -0.05
Volume (Å³ per atom): 58.8